Record 1
{
  "formula": "LaTe2As2",
  "functional": "PBE",
  "state": "optimized geometry",
  "lattice_angstrom": [[7.943, 0.000, 0.000], [0.000, 7.943, 0.000], [0.000, 0.000, 4.283]],
  "species": ["As", "As", "As", "As", "Te", "Te", "Te", "Te", "La", "La"],
  "fractional_positions": [[0.874, 0.626, 0.000], [0.374, 0.874, 0.000], [0.626, 0.126, 0.000], [0.126, 0.374, 0.000], [0.205, 0.705, 0.500], [0.795, 0.295, 0.500], [0.295, 0.205, 0.500], [0.705, 0.795, 0.500], [0.500, 0.500, 0.000], [0.000, 0.000, 0.000]],
  "de_polymorph_mev_per_atom": 0,
  "spacegroup": "P4/mbm (127)",
  "e_form_raw_mev_per_atom": -561.1,
  "total_magnetization_mub_per_fu": 0.000
}

---

Record 2
{
  "formula": "LaTeAs4",
  "functional": "PBE",
  "state": "optimized geometry",
  "lattice_angstrom": [[0.000, 4.114, 4.114], [4.114, 0.000, 4.114], [4.114, 4.114, 0.000]],
  "species": ["La", "As", "As", "As", "As", "Te"],
  "fractional_positions": [[0.750, 0.750, 0.750], [0.365, 0.365, 0.906], [0.365, 0.365, 0.365], [0.906, 0.365, 0.365], [0.365, 0.906, 0.365], [0.000, 0.000, 0.000]],
  "spacegroup": "F-43m (216)",
  "e_form_raw_mev_per_atom": -300.3,
  "total_magnetization_mub_per_fu": 0.000
}

---

Record 3
{
  "formula": "LaTe3As",
  "functional": "PBE",
  "state": "optimized geometry",
  "lattice_angstrom": [[6.178, 0.000, 0.000], [0.000, 6.178, 0.000], [0.000, 0.000, 6.178]],
  "species": ["Te", "Te", "Te", "La", "As"],
  "fractional_positions": [[0.000, 0.000, 0.500], [0.000, 0.500, 0.000], [0.500, 0.000, 0.000], [0.000, 0.000, 0.000], [0.500, 0.500, 0.500]],
  "de_polymorph_mev_per_atom": 706,
  "spacegroup": "Pm-3m (221)",
  "e_form_raw_mev_per_atom": 284.7,
  "total_magnetization_mub_per_fu": 0.568
}

---

Record 4
{
  "formula": "La2TeAs",
  "functional": "PBE",
  "state": "optimized geometry",
  "lattice_angstrom": [[1.136, -3.953, 3.550], [-3.079, -4.473, 0.162], [1.997, -4.737, -1.756]],
  "species": ["La", "La", "As", "Te"],
  "fractional_positions": [[0.750, 0.750, 0.750], [0.250, 0.250, 0.250], [0.000, 0.000, 0.000], [0.500, 0.500, 0.500]],
  "de_polymorph_mev_per_atom": 318,
  "spacegroup": "Fm-3m (225)",
  "e_form_raw_mev_per_atom": -1329.7,
  "total_magnetization_mub_per_fu": 0.000
}

---

Results for mass density: 6686; 6751; 4201; 7035 (in kg/m3, following the order of the records).
Results for total DFT energy (no corrections): -4.663; -4.745; -3.516; -5.741 (in eV per atom, following the order of the records).